# 1
## LiTlAu3 (PBE)

Data for crystalline LiTlAu3 at its relaxed geometry.

Structure (CIF):
```
data_LiTlAu3
_symmetry_space_group_name_H-M 'P m -3 m'
_symmetry_Int_Tables_number 221
_symmetry_space_group_name_Hall '-P 4 2 3'
_cell_length_a 4.7311
_cell_length_b 4.7311
_cell_length_c 4.7311
_cell_angle_alpha 90.00
_cell_angle_beta 90.00
_cell_angle_gamma 90.00
loop_
_atom_site_label
_atom_site_type_symbol
_atom_site_fract_x
_atom_site_fract_y
_atom_site_fract_z
_atom_site_occupancy
Li1 Li 0.0000 0.0000 0.0000 1
Tl1 Tl 0.5000 0.5000 0.5000 1
Au1 Au 0.0000 0.0000 0.5000 1
```

Results
- volume (Å³/atom) = 21.18
- E_form (eV/atom) = 0.146
- E above lowest polymorph (eV/f.u.) = 0.000

# 2
## Li7Tl3Au2 (PBE)

Data for crystalline Li7Tl3Au2 at its relaxed geometry.

Structure (CIF):
```
data_Li7Tl3Au2
_symmetry_space_group_name_H-M 'C m m m'
_symmetry_Int_Tables_number 65
_symmetry_space_group_name_Hall '-C 2 2'
_cell_length_a 4.7129
_cell_length_b 19.9423
_cell_length_c 4.9392
_cell_angle_alpha 90.00
_cell_angle_beta 90.00
_cell_angle_gamma 90.00
loop_
_atom_site_label
_atom_site_type_symbol
_atom_site_fract_x
_atom_site_fract_y
_atom_site_fract_z
_atom_site_occupancy
Li1 Li 0.0000 0.0000 0.0000 1
Li2 Li 0.0000 0.0876 0.5000 1
Li3 Li 0.0000 0.2751 0.0000 1
Li4 Li 0.0000 0.4176 0.0000 1
Tl1 Tl 0.0000 0.3257 0.5000 1
Tl2 Tl 0.0000 0.5000 0.5000 1
Au1 Au 0.0000 0.1453 0.0000 1
```

Results
- volume (Å³/atom) = 19.34
- E_form (eV/atom) = -0.257

Please write out number 1 again, unchanged.
## LiTlAu3 (PBE)

Data for crystalline LiTlAu3 at its relaxed geometry.

Structure (CIF):
```
data_LiTlAu3
_symmetry_space_group_name_H-M 'P m -3 m'
_symmetry_Int_Tables_number 221
_symmetry_space_group_name_Hall '-P 4 2 3'
_cell_length_a 4.7311
_cell_length_b 4.7311
_cell_length_c 4.7311
_cell_angle_alpha 90.00
_cell_angle_beta 90.00
_cell_angle_gamma 90.00
loop_
_atom_site_label
_atom_site_type_symbol
_atom_site_fract_x
_atom_site_fract_y
_atom_site_fract_z
_atom_site_occupancy
Li1 Li 0.0000 0.0000 0.0000 1
Tl1 Tl 0.5000 0.5000 0.5000 1
Au1 Au 0.0000 0.0000 0.5000 1
```

Results
- volume (Å³/atom) = 21.18
- E_form (eV/atom) = 0.146
- E above lowest polymorph (eV/f.u.) = 0.000

Question: What is the E_form in the second record?
Answer: -0.257 eV/atom